Entry 1:
{"formula": "Ti2Al5Cu2Tc", "functional": "GGA-PBE", "state": "optimized geometry", "cell": [[-0.409, -3.209, 0.392], [4.866, 0.393, 8.295], [-8.216, 1.626, 4.743]], "species": ["Al", "Cu", "Al", "Cu", "Al", "Ti", "Tc", "Al", "Al", "Ti", "Al", "Al", "Al", "Ti", "Cu", "Cu", "Tc", "Al", "Ti", "Al"], "fractional_positions": [[0.500, 0.554, 0.698], [0.000, 0.631, 0.869], [0.500, 0.198, 0.054], [0.000, 0.131, 0.631], [0.500, 0.698, 0.446], [0.000, 0.827, 0.673], [0.000, 0.500, 0.500], [0.500, 0.446, 0.302], [0.500, 0.500, 0.000], [0.000, 0.173, 0.327], [0.500, 0.302, 0.554], [0.500, 0.054, 0.802], [0.500, 0.946, 0.198], [0.000, 0.327, 0.827], [0.000, 0.869, 0.369], [0.000, 0.369, 0.131], [0.000, 0.000, 0.000], [0.500, 0.000, 0.500], [0.000, 0.673, 0.173], [0.500, 0.802, 0.946]], "delta_e_f_ev_per_fu": -2.64, "e_tot_ev_per_atom": -5.5698, "sg": "P4/mbm (127)"}

Entry 2:
{"formula": "TiAlCuTc", "functional": "GGA-PBE", "state": "optimized geometry", "cell": [[4.319, 0.000, 0.000], [2.160, 3.740, 0.000], [2.160, 1.247, 3.526]], "species": ["Tc", "Cu", "Al", "Ti"], "fractional_positions": [[0.250, 0.250, 0.250], [0.750, 0.750, 0.750], [0.000, 0.000, 0.000], [0.500, 0.500, 0.500]], "delta_e_f_ev_per_fu": -1.31, "e_tot_ev_per_atom": -6.8518, "sg": "F-43m (216)", "de_polymorph_mev_per_atom": 76.8}

Entry 3:
{"formula": "AlVCuTc", "functional": "GGA-PBE", "state": "optimized geometry", "cell": [[-3.816, 0.644, -1.751], [-0.800, -1.407, -3.928], [-2.647, -3.270, -0.587]], "species": ["Tc", "V", "Cu", "Al"], "fractional_positions": [[0.750, 0.750, 0.750], [0.500, 0.500, 0.500], [0.250, 0.250, 0.250], [0.000, 0.000, 0.000]], "delta_e_f_ev_per_fu": -0.80, "e_tot_ev_per_atom": -7.0303, "sg": "F-43m (216)"}

Entry 4:
{"formula": "Al2CuTcW", "functional": "GGA-PBE", "state": "optimized geometry", "cell": [[-3.972, -0.333, -2.636], [2.493, -1.696, -3.543], [-0.707, -4.437, 1.627]], "species": ["Al", "Al", "Tc", "Cu", "W"], "fractional_positions": [[0.000, 0.000, 0.500], [0.500, 0.000, 0.000], [0.500, 0.500, 0.500], [0.000, 0.500, 0.000], [0.000, 0.000, 0.000]], "delta_e_f_ev_per_fu": 7.73, "e_tot_ev_per_atom": -5.4331, "sg": "P4/mmm (123)"}

Entry 5:
{"formula": "ZrAlCu2Tc", "functional": "GGA-PBE", "state": "optimized geometry", "cell": [[4.722, 0.000, 0.000], [0.000, 4.768, 0.000], [0.000, 0.000, 4.722]], "species": ["Tc", "Zr", "Al", "Cu", "Cu"], "fractional_positions": [[0.000, 0.000, 0.000], [0.000, 0.500, 0.000], [0.500, 0.500, 0.500], [0.500, 0.000, 0.000], [0.000, 0.000, 0.500]], "delta_e_f_ev_per_fu": 4.61, "e_tot_ev_per_atom": -5.2482, "sg": "P4/mmm (123)"}

Entry 6:
{"formula": "Al2CuTe", "functional": "GGA-PBE", "state": "optimized geometry", "cell": [[3.372, 0.000, 0.000], [0.000, 3.372, 0.000], [0.000, 0.000, 6.570]], "species": ["Te", "Al", "Cu", "Al"], "fractional_positions": [[0.500, 0.500, 0.750], [0.000, 0.000, 0.456], [0.500, 0.500, 0.250], [0.000, 0.000, 0.044]], "e_tot_ev_per_atom": -3.4988, "sg": "P4/mmm (123)", "e_form_raw_mev_per_atom": 182}

Entry 7:
{"formula": "AlCuTe2", "functional": "GGA-PBE", "state": "optimized geometry", "cell": [[-1.979, 3.206, -3.368], [-2.197, -1.776, -4.191], [-5.014, 0.310, -0.550]], "species": ["Te", "Cu", "Te", "Al"], "fractional_positions": [[0.000, 0.000, 0.000], [0.750, 0.750, 0.750], [0.250, 0.250, 0.250], [0.500, 0.500, 0.500]], "e_tot_ev_per_atom": -3.0773, "sg": "F-43m (216)", "e_form_raw_mev_per_atom": 453}

Entry 8:
{"formula": "AlCuTe2", "functional": "GGA-PBE", "state": "optimized geometry", "cell": [[3.864, 0.000, 0.000], [0.000, 7.728, 0.000], [0.000, 0.000, 3.798]], "species": ["Te", "Cu", "Te", "Al"], "fractional_positions": [[0.000, 0.000, 0.000], [0.000, 0.500, 0.500], [0.500, 0.500, 0.000], [0.500, 0.000, 0.500]], "e_tot_ev_per_atom": -3.3483, "sg": "Pmmm (47)", "e_form_raw_mev_per_atom": 182}

Entry 9:
{"formula": "Al2CuTe", "functional": "GGA-PBE", "state": "optimized geometry", "cell": [[2.974, 0.000, 0.000], [0.000, 3.819, 0.000], [0.000, 0.000, 6.989]], "species": ["Al", "Al", "Te", "Cu"], "fractional_positions": [[0.000, 0.000, 0.075], [0.500, 0.500, 0.280], [0.500, 0.500, 0.695], [0.000, 0.000, 0.451]], "e_tot_ev_per_atom": -3.5165, "sg": "Pmm2 (25)", "e_form_raw_mev_per_atom": 164}

Entry 10:
{"formula": "Al3CuTe4", "functional": "GGA-PBE", "state": "optimized geometry", "cell": [[-6.517, -0.833, -1.401], [-0.157, -5.428, 3.955], [2.065, 6.165, 2.838]], "species": ["Te", "Al", "Te", "Al", "Te", "Te", "Al", "Cu"], "fractional_positions": [[0.876, 0.876, 0.242], [0.750, 0.250, 0.500], [0.634, 0.124, 0.758], [0.250, 0.750, 0.500], [0.124, 0.634, 0.758], [0.366, 0.366, 0.242], [0.500, 0.500, 0.000], [0.000, 0.000, 0.000]], "e_tot_ev_per_atom": -3.5955, "sg": "I-42m (121)", "e_form_raw_mev_per_atom": -109}

Entry 11:
{"formula": "Al2Cu2Te", "functional": "GGA-PBE", "state": "optimized geometry", "cell": [[3.919, 0.000, 0.000], [0.000, 3.919, 0.000], [1.959, 1.959, 5.678]], "species": ["Te", "Al", "Al", "Cu", "Cu"], "fractional_positions": [[0.000, 0.000, 0.000], [0.250, 0.750, 0.500], [0.750, 0.250, 0.500], [0.610, 0.610, 0.780], [0.390, 0.390, 0.220]], "e_tot_ev_per_atom": -3.7414, "sg": "I4/mmm (139)", "e_form_raw_mev_per_atom": 22, "de_polymorph_mev_per_atom": 0.0}

Entry 12:
{"formula": "AlCuTe2", "functional": "GGA-PBE", "state": "optimized geometry", "cell": [[-5.049, -2.885, 6.068], [-2.438, -6.960, 4.032], [5.731, 5.153, -3.351]], "species": ["Te", "Cu", "Al", "Te"], "fractional_positions": [[0.003, 0.003, 0.000], [0.301, 0.801, 0.500], [0.426, 0.426, 0.000], [0.771, 0.271, 0.500]], "e_tot_ev_per_atom": -3.5013, "sg": "Imm2 (44)", "e_form_raw_mev_per_atom": 29}

Entry 13:
{"formula": "Al2CuTe", "functional": "GGA-PBE", "state": "optimized geometry", "cell": [[3.081, 0.005, 0.000], [-0.006, 3.081, 0.000], [0.000, 0.000, 7.912]], "species": ["Al", "Te", "Cu", "Al"], "fractional_positions": [[0.000, 0.000, 0.057], [0.500, 0.500, 0.750], [0.500, 0.500, 0.250], [0.000, 0.000, 0.443]], "e_tot_ev_per_atom": -3.5485, "sg": "P4/mmm (123)", "e_form_raw_mev_per_atom": 132}

Entry 14:
{"formula": "Al2CuTe", "functional": "GGA-PBE", "state": "optimized geometry", "cell": [[3.897, 0.000, 0.000], [0.000, 3.898, 0.000], [0.000, 0.000, 5.188]], "species": ["Al", "Al", "Cu", "Te"], "fractional_positions": [[0.500, 0.500, 0.000], [0.000, 0.000, 0.000], [0.500, 0.000, 0.500], [0.000, 0.500, 0.500]], "e_tot_ev_per_atom": -3.4455, "sg": "P4/mmm (123)", "e_form_raw_mev_per_atom": 235}

Entry 15:
{"formula": "Al2CuTe", "functional": "GGA-PBE", "state": "optimized geometry", "cell": [[-4.644, -1.036, -0.412], [-2.559, -1.084, 3.884], [-3.283, 3.063, 1.628]], "species": ["Al", "Cu", "Te", "Al"], "fractional_positions": [[0.000, 0.000, 0.000], [0.500, 0.500, 0.500], [0.750, 0.750, 0.750], [0.250, 0.250, 0.250]], "e_tot_ev_per_atom": -3.3580, "sg": "F-43m (216)", "e_form_raw_mev_per_atom": 323}

Entry 16:
{"formula": "AlCuTe", "functional": "GGA-PBE", "state": "optimized geometry", "cell": [[-2.400, 2.942, 0.974], [-1.363, -3.672, -0.153], [1.076, -0.583, 4.413]], "species": ["Cu", "Al", "Te"], "fractional_positions": [[0.667, 0.333, 0.319], [0.000, 0.000, 0.047], [0.333, 0.667, 0.634]], "e_tot_ev_per_atom": -3.6287, "sg": "P3m1 (156)", "e_form_raw_mev_per_atom": 31, "de_polymorph_mev_per_atom": 17.1}

Entry 17:
{"formula": "Al2CuTe", "functional": "GGA-PBE", "state": "optimized geometry", "cell": [[4.001, 0.005, 0.028], [1.960, 3.488, 0.028], [2.095, 1.228, 5.725]], "species": ["Cu", "Al", "Al", "Te"], "fractional_positions": [[0.750, 0.750, 0.750], [0.473, 0.473, 0.585], [0.027, 0.027, 0.915], [0.250, 0.250, 0.250]], "e_tot_ev_per_atom": -3.6818, "sg": "C2/m (12)", "e_form_raw_mev_per_atom": -1}

Entry 18:
{"formula": "AlCu2Te2", "functional": "GGA-PBE", "state": "optimized geometry", "cell": [[-6.637, 2.859, 2.520], [-3.739, -3.901, -5.421], [-0.349, -2.798, 2.254]], "species": ["Cu", "Cu", "Te", "Te", "Cu", "Te", "Al", "Te", "Cu", "Al"], "fractional_positions": [[0.384, 0.116, 0.500], [0.884, 0.384, 0.500], [0.687, 0.187, 0.000], [0.313, 0.813, 0.000], [0.116, 0.616, 0.500], [0.813, 0.687, 0.000], [0.500, 0.500, 0.000], [0.187, 0.313, 0.000], [0.616, 0.884, 0.500], [0.000, 0.000, 0.000]], "e_tot_ev_per_atom": -3.3964, "sg": "P4/mbm (127)", "e_form_raw_mev_per_atom": 247, "de_polymorph_mev_per_atom": 182.0}

Entry 19:
{"formula": "Al2CuTe", "functional": "GGA-PBE", "state": "optimized geometry", "cell": [[-1.350, -2.049, -1.956], [2.699, -1.589, -0.198], [-2.129, -4.371, 6.049]], "species": ["Cu", "Al", "Al", "Te"], "fractional_positions": [[0.000, 0.000, 0.452], [0.500, 0.500, 0.277], [0.000, 0.000, 0.043], [0.500, 0.500, 0.728]], "e_tot_ev_per_atom": -3.4820, "sg": "P4mm (99)", "e_form_raw_mev_per_atom": 199}

Entry 20:
{"formula": "AlCuTe", "functional": "GGA-PBE", "state": "optimized geometry", "cell": [[-5.958, 1.806, 0.842], [-5.928, 0.514, -2.048], [-1.459, -2.586, 1.098]], "species": ["Te", "Cu", "Al"], "fractional_positions": [[0.676, 0.676, 0.324], [0.357, 0.357, 0.643], [0.967, 0.967, 0.033]], "e_tot_ev_per_atom": -3.4223, "sg": "Fmm2 (42)", "e_form_raw_mev_per_atom": 238, "de_polymorph_mev_per_atom": 223.5}

Entry 21:
{"formula": "AlCuTe2", "functional": "GGA-PBE", "state": "optimized geometry", "cell": [[-1.904, 0.775, 5.734], [4.686, -3.335, 2.007], [4.764, 3.727, 4.314]], "species": ["Cu", "Te", "Cu", "Al", "Te", "Al", "Te", "Te"], "fractional_positions": [[0.000, 0.000, 0.000], [0.375, 0.366, 0.750], [0.750, 0.250, 0.500], [0.500, 0.500, 0.000], [0.116, 0.625, 0.250], [0.250, 0.750, 0.500], [0.875, 0.884, 0.750], [0.634, 0.125, 0.250]], "e_tot_ev_per_atom": -3.8716, "sg": "I-42d (122)", "e_form_raw_mev_per_atom": -341}

Entry 22:
{"formula": "Al2CuTe", "functional": "GGA-PBE", "state": "optimized geometry", "cell": [[-2.115, -0.158, 2.314], [0.541, -3.089, -0.140], [5.694, 0.760, 5.257]], "species": ["Al", "Cu", "Al", "Te"], "fractional_positions": [[0.000, 0.000, 0.042], [0.000, 0.000, 0.454], [0.500, 0.500, 0.276], [0.500, 0.500, 0.728]], "e_tot_ev_per_atom": -3.4830, "sg": "Cmm2 (35)", "e_form_raw_mev_per_atom": 198}

Entry 23:
{"formula": "Al2CuTe", "functional": "GGA-PBE", "state": "optimized geometry", "cell": [[5.937, 0.042, 0.000], [3.378, 4.882, 0.000], [-4.657, -2.462, 2.738]], "species": ["Al", "Al", "Te", "Cu"], "fractional_positions": [[0.500, 0.500, 0.000], [0.000, 0.000, 0.000], [0.750, 0.250, 0.500], [0.250, 0.750, 0.500]], "e_tot_ev_per_atom": -3.4673, "sg": "I4/mmm (139)", "e_form_raw_mev_per_atom": 213}

Entry 24:
{"formula": "AlCuTe2", "functional": "GGA-PBE", "state": "optimized geometry", "cell": [[-2.685, 4.658, -1.901], [-1.819, -2.245, 4.178], [0.455, 2.792, 3.308]], "species": ["Cu", "Te", "Te", "Al"], "fractional_positions": [[0.500, 0.500, 0.000], [0.000, 0.000, 0.000], [0.500, 0.000, 0.500], [0.000, 0.500, 0.500]], "e_tot_ev_per_atom": -3.3773, "sg": "C2/m (12)", "e_form_raw_mev_per_atom": 153}

Entry 25:
{"formula": "Al2CuTe", "functional": "GGA-PBE", "state": "optimized geometry", "cell": [[-1.312, 0.712, -3.965], [-0.758, -3.061, -2.829], [-5.996, -0.978, -0.323]], "species": ["Al", "Cu", "Al", "Te"], "fractional_positions": [[0.998, 0.998, 0.886], [0.370, 0.370, 0.744], [0.734, 0.734, 0.616], [0.397, 0.397, 0.254]], "e_tot_ev_per_atom": -3.7040, "sg": "Cm (8)", "e_form_raw_mev_per_atom": -23}

Entry 26:
{"formula": "AlCu2Te4", "functional": "GGA-PBE", "state": "optimized geometry", "cell": [[-1.248, -7.655, 0.582], [4.525, -0.259, 6.321], [-6.497, 5.018, 0.068]], "species": ["Cu", "Te", "Te", "Te", "Te", "Te", "Cu", "Te", "Cu", "Te", "Te", "Cu", "Al", "Al"], "fractional_positions": [[0.625, 0.875, 0.250], [0.389, 0.155, 0.778], [0.377, 0.611, 0.222], [0.389, 0.623, 0.778], [0.861, 0.127, 0.722], [0.861, 0.595, 0.722], [0.625, 0.375, 0.750], [0.405, 0.139, 0.278], [0.125, 0.375, 0.750], [0.873, 0.139, 0.278], [0.845, 0.611, 0.222], [0.625, 0.375, 0.250], [0.250, 0.750, 0.500], [0.000, 0.000, 0.000]], "e_tot_ev_per_atom": -3.5653, "sg": "I4_1/amd (141)", "e_form_raw_mev_per_atom": -65}

Entry 27:
{"formula": "AlCuTe2", "functional": "GGA-PBE", "state": "optimized geometry", "cell": [[-3.717, 0.061, 0.785], [-0.755, -1.345, -3.473], [0.416, -6.644, 2.482]], "species": ["Al", "Cu", "Te", "Te"], "fractional_positions": [[0.000, 0.000, 0.500], [0.500, 0.500, 0.759], [0.000, 0.000, 0.869], [0.500, 0.500, 0.372]], "e_tot_ev_per_atom": -3.6421, "sg": "P4mm (99)", "e_form_raw_mev_per_atom": -112}

Entry 28:
{"formula": "AlCuTe2", "functional": "GGA-PBE", "state": "optimized geometry", "cell": [[3.098, 0.000, 0.000], [0.000, 3.098, 0.000], [0.000, 0.000, 9.982]], "species": ["Te", "Te", "Al", "Cu"], "fractional_positions": [[0.500, 0.500, 0.308], [0.000, 0.000, 0.923], [0.000, 0.000, 0.568], [0.500, 0.500, 0.701]], "e_tot_ev_per_atom": -3.3557, "sg": "P4mm (99)", "e_form_raw_mev_per_atom": 175}